1.
MgCu2Mo: relaxed, GGA-PBE.

Cell: 2.649 4.254 5.283 Å, 90.00 103.51 90.00°
Atoms (fractional coordinates):
Mg  0.000  0.000  0.000
Cu  0.278  0.000  0.524
Cu  0.396  0.500  0.805
Mo  0.680  0.500  0.333

The value obtained for the total energy is -19.8 eV per cell. For the energy of formation from the pure elements, the calculation gives 0.209 eV per atom. Its energy above the most stable polymorph in this dataset is 0.0940 eV/atom.

=====

2.
Mg6CuMo: relaxed, GGA-PBE.

Cell: 4.353 7.640 9.297 Å, 90.00 90.00 90.00°
Atoms (fractional coordinates):
Mg  0.000  0.000  0.000
Mg  0.000  0.204  0.293
Mg  0.000  0.296  0.793
Mg  0.000  0.500  0.500
Mg  0.000  0.704  0.793
Mg  0.000  0.796  0.293
Mg  0.500  0.000  0.777
Mg  0.500  0.236  0.059
Mg  0.500  0.264  0.559
Mg  0.500  0.500  0.277
Mg  0.500  0.736  0.559
Mg  0.500  0.764  0.059
Cu  0.500  0.000  0.382
Cu  0.500  0.500  0.882
Mo  0.000  0.000  0.564
Mo  0.000  0.500  0.064

The value obtained for the total energy is -46.2 eV per cell. For the energy of formation from the pure elements, the calculation gives 0.172 eV per atom. Its energy above the most stable polymorph in this dataset is 0.0000 eV/atom.

=====

3.
MgCu2Mo: relaxed, GGA-PBE.

Cell: 2.752 2.752 26.970 Å, 90.00 90.00 120.00°
Atoms (fractional coordinates):
Mg  0.000  0.000  0.000
Mg  0.333  0.667  0.667
Mg  0.667  0.333  0.333
Cu  0.000  0.000  0.249
Cu  0.000  0.000  0.751
Cu  0.333  0.667  0.417
Cu  0.333  0.667  0.916
Cu  0.667  0.333  0.084
Cu  0.667  0.333  0.583
Mo  0.000  0.000  0.500
Mo  0.333  0.667  0.167
Mo  0.667  0.333  0.833

The value obtained for the total energy is -58.9 eV per cell. For the energy of formation from the pure elements, the calculation gives 0.243 eV per atom. Its energy above the most stable polymorph in this dataset is 0.1274 eV/atom.

=====

4.
MgCu2Mo: relaxed, GGA-PBE.

Cell: 4.924 2.564 5.198 Å, 90.00 115.23 90.00°
Atoms (fractional coordinates):
Mg  0.000  0.000  0.000
Cu  0.500  0.000  0.500
Cu  0.500  0.500  0.000
Mo  0.000  0.500  0.500

The value obtained for the total energy is -19.4 eV per cell. For the energy of formation from the pure elements, the calculation gives 0.311 eV per atom. Its energy above the most stable polymorph in this dataset is 0.1953 eV/atom.

=====

5.
MgCuMo: relaxed, GGA-PBE.

Cell: 3.793 3.813 12.686 Å, 90.00 90.00 90.00°
Atoms (fractional coordinates):
Mg  0.000  0.000  0.000
Mg  0.000  0.500  0.500
Mg  0.500  0.000  0.500
Mg  0.500  0.500  0.000
Cu  0.000  0.000  0.338
Cu  0.000  0.500  0.838
Cu  0.500  0.000  0.838
Cu  0.500  0.500  0.338
Mo  0.000  0.000  0.682
Mo  0.000  0.500  0.182
Mo  0.500  0.000  0.182
Mo  0.500  0.500  0.682

The value obtained for the total energy is -63.7 eV per cell. For the energy of formation from the pure elements, the calculation gives 0.196 eV per atom. Its energy above the most stable polymorph in this dataset is 0.0000 eV/atom.

=====

6.
MgCuMo2: relaxed, GGA-PBE.

Cell: 3.658 3.658 20.032 Å, 90.00 90.00 90.00°
Atoms (fractional coordinates):
Mg  0.000  0.000  0.000
Mg  0.000  0.500  0.250
Mg  0.500  0.000  0.750
Mg  0.500  0.500  0.500
Cu  0.000  0.000  0.500
Cu  0.000  0.500  0.750
Cu  0.500  0.000  0.250
Cu  0.500  0.500  0.000
Mo  0.248  0.250  0.625
Mo  0.250  0.748  0.875
Mo  0.250  0.752  0.375
Mo  0.252  0.250  0.125
Mo  0.748  0.750  0.125
Mo  0.750  0.248  0.375
Mo  0.750  0.252  0.875
Mo  0.752  0.750  0.625

The value obtained for the total energy is -99.2 eV per cell. For the energy of formation from the pure elements, the calculation gives 0.636 eV per atom. Its energy above the most stable polymorph in this dataset is 0.4743 eV/atom.